Computed, not measured: a crystal of BeP2 relaxed with PBEsol at the meta-GGA SCAN level of DFT.

The structure in CIF format:
```
data_BeP2
_cell_length_a 5.572
_cell_length_b 5.572
_cell_length_c 4.804
_cell_angle_alpha 90.00
_cell_angle_beta 90.00
_cell_angle_gamma 90.00
_symmetry_space_group_name_H-M 'I 4/m c m'
_symmetry_Int_Tables_number 140
_symmetry_space_group_name_Hall '-I 4 2c'
loop_
_atom_site_label
_atom_site_type_symbol
_atom_site_fract_x
_atom_site_fract_y
_atom_site_fract_z
Be1 Be 0.000 0.000 0.250
P1 P 0.138 0.362 0.000
```

Computed properties:
**Calculated total energy**: -23.86 eV per formula unit
**Excess energy over the best structure of this formula in the dataset**: 137 meV per atom
**ΔH_f (0 K)**: 0.431 eV/atom
**Total magnetization**: 0.000 μB/atom